KLiLaPb2 (PBE, relaxed); crystal system = tetragonal; DFT total energy = -2.756 eV per atom; ΔH_f (0 K) = 315 meV/atom; M_tot = 0.000 μB per atom
1.0
6.154 0.000 0.000
0.000 6.161 0.000
0.000 0.000 6.154
Li La Pb K
1 1 2 1
Direct
0.000 0.500 0.000
0.000 0.000 0.000
0.500 0.000 0.000
0.000 0.000 0.500
0.500 0.500 0.500

Sc2SiN2 (PBE, relaxed); ΔE to the lowest computed polymorph = 412.5 meV/atom; crystal system = tetragonal; uncorrected formation energy = -0.20 eV per atom; DFT total energy = -7.145 eV per atom; M_tot = 0.000 μB per atom
1.0
-1.176 -2.579 6.009
-0.071 -6.100 -2.632
2.958 -0.240 0.476
N Sc Si
4 4 2
Direct
0.829 0.329 0.500
0.171 0.671 0.500
0.671 0.829 0.500
0.329 0.171 0.500
0.660 0.160 0.000
0.340 0.840 0.000
0.840 0.660 0.000
0.160 0.340 0.000
0.000 0.000 0.000
0.500 0.500 0.000

Ac2Ga2Os2C (PBE, relaxed); crystal system = monoclinic; DFT total energy = -6.925 eV per atom; ΔH_f (0 K) = -360 meV/atom; M_tot = 0.000 μB per atom
1.0
4.375 0.000 0.000
2.187 5.883 -0.566
2.187 1.575 5.755
Ga Ac Os C
2 2 2 1
Direct
0.825 0.614 0.736
0.175 0.386 0.264
0.560 0.178 0.703
0.440 0.822 0.297
0.810 0.294 0.086
0.190 0.706 0.914
0.000 0.000 0.000

Be2TlCl (PBE, relaxed); ΔE to the lowest computed polymorph = 204.7 meV/atom; crystal system = orthorhombic; uncorrected formation energy = 0.36 eV per atom; DFT total energy = -2.555 eV per atom; M_tot = 0.000 μB per atom
1.0
-1.928 -2.333 -4.811
4.100 0.459 -3.909
-1.951 -2.267 4.833
Be Tl Cl
2 1 1
Direct
0.747 0.247 0.500
0.939 0.939 0.000
0.226 0.726 0.500
0.589 0.589 0.000

ZrAsAu (PBE, relaxed); crystal system = orthorhombic; DFT total energy = -5.918 eV per atom; ΔH_f (0 K) = -426 meV/atom; M_tot = 0.000 μB per atom
1.0
5.846 -0.073 0.066
4.715 3.132 0.092
1.131 -0.293 3.192
Zr As Au
1 1 1
Direct
0.339 0.339 0.661
0.997 0.997 0.003
0.664 0.664 0.336

Tb3Tm2Sc2 (PBE, relaxed); ΔE to the lowest computed polymorph = 177.1 meV/atom; crystal system = monoclinic; DFT total energy = -4.855 eV per atom; ΔH_f (0 K) = 216 meV/atom; M_tot = 0.000 μB per atom
1.0
6.231 0.000 -1.361
0.000 10.470 0.000
1.599 0.000 6.058
Sc Tb Tm
4 6 4
Direct
0.526 0.354 0.549
0.974 0.854 0.451
0.026 0.146 0.549
0.474 0.646 0.451
0.500 0.500 0.000
0.524 0.058 0.744
0.476 0.942 0.256
0.024 0.442 0.744
0.000 0.000 0.000
0.976 0.558 0.256
0.748 0.743 0.860
0.752 0.243 0.140
0.252 0.257 0.140
0.248 0.757 0.860

BTeP2O (PBE, relaxed); ΔE to the lowest computed polymorph = 0.0 meV/atom; crystal system = tetragonal; uncorrected formation energy = 0.30 eV per atom; DFT total energy = -4.824 eV per atom; M_tot = 0.000 μB per atom
1.0
5.355 0.000 0.000
0.000 5.355 0.000
0.000 0.000 2.740
B P Te O
1 2 1 1
Direct
0.000 0.000 0.000
0.500 0.000 0.000
0.000 0.500 0.000
0.500 0.500 0.500
0.000 0.000 0.500

La2InGe3Pt4 (PBE, relaxed); crystal system = tetragonal; DFT total energy = -5.987 eV per atom; ΔH_f (0 K) = -926 meV/atom; M_tot = 0.000 μB per atom
1.0
-1.846 -3.373 2.222
3.967 -1.974 0.298
1.792 4.965 9.026
La Ge In Pt
2 3 1 4
Direct
0.500 0.000 0.243
0.000 0.500 0.757
0.000 0.500 0.122
0.000 0.000 0.500
0.500 0.000 0.878
0.500 0.500 0.500
0.000 0.500 0.357
0.500 0.000 0.643
0.500 0.500 0.000
0.000 0.000 0.000

The highest DFT total energy belongs to which entry?
Be2TlCl

What is the formula in the second record?
Sc2SiN2